1.
# AgHg2Ir (PBE-GGA, optimized geometry)
# Energy of formation: 8.696 kcal/mol of atoms
# Uncorrected energy: -2.7019 eV per atom
# Excess energy over the best structure of this formula in the dataset: 40 meV/atom
data_AgHg2Ir
_cell_length_a 6.671
_cell_length_b 6.671
_cell_length_c 6.671
_cell_angle_alpha 90.00
_cell_angle_beta 90.00
_cell_angle_gamma 90.00
_symmetry_space_group_name_H-M 'F m -3 m'
_symmetry_Int_Tables_number 225
_symmetry_space_group_name_Hall '-F 4 2 3'
loop_
_atom_site_label
_atom_site_type_symbol
_atom_site_fract_x
_atom_site_fract_y
_atom_site_fract_z
_atom_site_occupancy
Ag1 Ag 0.000 0.000 0.000 1
Hg1 Hg 0.250 0.250 0.250 1
Ir1 Ir 0.000 0.000 0.500 1

---

2.
# BaMgGe3 (PBE-GGA, optimized geometry)
# Energy of formation: 28.267 kcal/mol of atoms
# Uncorrected energy: -2.2481 eV per atom
# Excess energy over the best structure of this formula in the dataset: 1177 meV/atom
data_BaMgGe3
_cell_length_a 5.830
_cell_length_b 5.830
_cell_length_c 5.830
_cell_angle_alpha 90.00
_cell_angle_beta 90.00
_cell_angle_gamma 90.00
_symmetry_space_group_name_H-M 'P m -3 m'
_symmetry_Int_Tables_number 221
_symmetry_space_group_name_Hall '-P 4 2 3'
loop_
_atom_site_label
_atom_site_type_symbol
_atom_site_fract_x
_atom_site_fract_y
_atom_site_fract_z
_atom_site_occupancy
Ba1 Ba 0.000 0.000 0.000 1
Mg1 Mg 0.500 0.500 0.500 1
Ge1 Ge 0.000 0.000 0.500 1

---

3.
# LaTbNi (PBE-GGA, optimized geometry)
# Energy of formation: -6.003 kcal/mol of atoms
# Uncorrected energy: -5.3733 eV per atom
# Excess energy over the best structure of this formula in the dataset: 0 meV/atom
data_LaTbNi
_cell_length_a 13.787
_cell_length_b 4.028
_cell_length_c 5.850
_cell_angle_alpha 90.00
_cell_angle_beta 100.32
_cell_angle_gamma 90.00
_symmetry_space_group_name_H-M 'C 1 2/m 1'
_symmetry_Int_Tables_number 12
loop_
_symmetry_equiv_pos_as_xyz
'x,y,z'
'-x,-y,-z'
'-x,y,-z'
'x,-y,z'
'x+1/2,y+1/2,z'
'-x+1/2,-y+1/2,-z'
'-x+1/2,y+1/2,-z'
'x+1/2,-y+1/2,z'
loop_
_atom_site_label
_atom_site_type_symbol
_atom_site_fract_x
_atom_site_fract_y
_atom_site_fract_z
_atom_site_occupancy
La1 La 0.084 0.000 0.280 1
Tb1 Tb 0.160 0.500 0.814 1
Ni1 Ni 0.233 0.500 0.352 1

---

4.
# Sc6C2Br3N (PBE-GGA, optimized geometry)
# Uncorrected energy: -6.9682 eV per atom
data_Sc6C2Br3N
_cell_length_a 5.987
_cell_length_b 10.370
_cell_length_c 6.886
_cell_angle_alpha 90.00
_cell_angle_beta 106.84
_cell_angle_gamma 90.00
_symmetry_space_group_name_H-M 'C 1 2/m 1'
_symmetry_Int_Tables_number 12
loop_
_symmetry_equiv_pos_as_xyz
'x,y,z'
'-x,-y,-z'
'-x,y,-z'
'x,-y,z'
'x+1/2,y+1/2,z'
'-x+1/2,-y+1/2,-z'
'-x+1/2,y+1/2,-z'
'x+1/2,-y+1/2,z'
loop_
_atom_site_label
_atom_site_type_symbol
_atom_site_fract_x
_atom_site_fract_y
_atom_site_fract_z
_atom_site_occupancy
Sc1 Sc 0.222 0.166 0.169 1
Sc2 Sc 0.224 0.500 0.169 1
C1 C 0.000 0.333 0.000 1
Br1 Br 0.000 0.167 0.500 1
Br2 Br 0.000 0.500 0.500 1
N1 N 0.000 0.000 0.000 1

---

5.
# InFe2W (PBE-GGA, optimized geometry)
# Energy of formation: 7.456 kcal/mol of atoms
# Uncorrected energy: -7.8309 eV per atom
data_InFe2W
_cell_length_a 3.220
_cell_length_b 4.441
_cell_length_c 8.498
_cell_angle_alpha 90.00
_cell_angle_beta 90.00
_cell_angle_gamma 90.00
_symmetry_space_group_name_H-M 'C m m m'
_symmetry_Int_Tables_number 65
_symmetry_space_group_name_Hall '-C 2 2'
loop_
_atom_site_label
_atom_site_type_symbol
_atom_site_fract_x
_atom_site_fract_y
_atom_site_fract_z
_atom_site_occupancy
In1 In 0.000 0.000 0.000 1
Fe1 Fe 0.000 0.500 0.263 1
W1 W 0.000 0.000 0.500 1

---

6.
# Sm2NpPdS5 (PBE-GGA, optimized geometry)
# Uncorrected energy: -6.8572 eV per atom
data_Sm2NpPdS5
_cell_length_a 3.889
_cell_length_b 16.618
_cell_length_c 11.825
_cell_angle_alpha 90.00
_cell_angle_beta 90.00
_cell_angle_gamma 90.00
_symmetry_space_group_name_H-M 'C m c 21'
_symmetry_Int_Tables_number 36
loop_
_symmetry_equiv_pos_as_xyz
'x,y,z'
'-x,-y,z+1/2'
'-x,y,z'
'x,-y,z+1/2'
'x+1/2,y+1/2,z'
'-x+1/2,-y+1/2,z+1/2'
'-x+1/2,y+1/2,z'
'x+1/2,-y+1/2,z+1/2'
loop_
_atom_site_label
_atom_site_type_symbol
_atom_site_fract_x
_atom_site_fract_y
_atom_site_fract_z
_atom_site_occupancy
Sm1 Sm 0.000 0.110 0.000 1
Sm2 Sm 0.000 0.120 0.625 1
Np1 Np 0.000 0.194 0.322 1
Pd1 Pd 0.000 0.447 0.754 1
S1 S 0.000 0.042 0.371 1
S2 S 0.000 0.293 0.983 1
S3 S 0.000 0.307 0.659 1
S4 S 0.000 0.358 0.315 1
S5 S 0.000 0.495 0.071 1

---

7.
# La6Tb2NdHo (PBE-GGA, optimized geometry)
# Energy of formation: 4.393 kcal/mol of atoms
# Uncorrected energy: -4.6266 eV per atom
data_La6Tb2NdHo
_cell_length_a 11.489
_cell_length_b 6.967
_cell_length_c 9.322
_cell_angle_alpha 90.00
_cell_angle_beta 107.37
_cell_angle_gamma 90.00
_symmetry_space_group_name_H-M 'C 1 2/m 1'
_symmetry_Int_Tables_number 12
loop_
_symmetry_equiv_pos_as_xyz
'x,y,z'
'-x,-y,-z'
'-x,y,-z'
'x,-y,z'
'x+1/2,y+1/2,z'
'-x+1/2,-y+1/2,-z'
'-x+1/2,y+1/2,-z'
'x+1/2,-y+1/2,z'
loop_
_atom_site_label
_atom_site_type_symbol
_atom_site_fract_x
_atom_site_fract_y
_atom_site_fract_z
_atom_site_occupancy
La1 La 0.131 0.000 0.425 1
La2 La 0.197 0.271 0.810 1
Tb1 Tb 0.071 0.500 0.172 1
Nd1 Nd 0.000 0.500 0.500 1
Ho1 Ho 0.000 0.000 0.000 1

---

8.
# TmTlIn2Br6 (PBE-GGA, optimized geometry)
# Uncorrected energy: -3.4218 eV per atom
data_TmTlIn2Br6
_cell_length_a 8.102
_cell_length_b 8.120
_cell_length_c 8.364
_cell_angle_alpha 61.06
_cell_angle_beta 61.03
_cell_angle_gamma 60.08
_symmetry_space_group_name_H-M 'P 1'
_symmetry_Int_Tables_number 1
loop_
_symmetry_equiv_pos_as_xyz
'x,y,z'
loop_
_atom_site_label
_atom_site_type_symbol
_atom_site_fract_x
_atom_site_fract_y
_atom_site_fract_z
_atom_site_occupancy
Tm1 Tm 0.000 0.000 0.000 1
Tl1 Tl 0.510 0.510 0.471 1
In1 In 0.307 0.308 0.077 1
In2 In 0.797 0.798 0.607 1
Br1 Br 0.115 0.766 0.785 1
Br2 Br 0.194 0.654 0.252 1
Br3 Br 0.334 0.115 0.786 1
Br4 Br 0.653 0.900 0.252 1
Br5 Br 0.766 0.334 0.786 1
Br6 Br 0.899 0.194 0.253 1

---

9.
# BeW (PBE-GGA, optimized geometry)
# Energy of formation: 47.548 kcal/mol of atoms
# Uncorrected energy: -6.2778 eV per atom
# Excess energy over the best structure of this formula in the dataset: 2290 meV/atom
data_BeW
_cell_length_a 7.392
_cell_length_b 7.392
_cell_length_c 7.392
_cell_angle_alpha 90.00
_cell_angle_beta 90.00
_cell_angle_gamma 90.00
_symmetry_space_group_name_H-M 'I -4 3 m'
_symmetry_Int_Tables_number 217
_symmetry_space_group_name_Hall 'I -4 2 3'
loop_
_atom_site_label
_atom_site_type_symbol
_atom_site_fract_x
_atom_site_fract_y
_atom_site_fract_z
_atom_site_occupancy
Be1 Be 0.189 0.189 0.189 1
W1 W 0.124 0.124 0.876 1

---

10.
# Cs2GaAgCl6 (PBE-GGA, optimized geometry)
# Uncorrected energy: -3.2223 eV per atom
# Excess energy over the best structure of this formula in the dataset: 0 meV/atom
data_Cs2GaAgCl6
_cell_length_a 7.3928
_cell_length_b 7.3928
_cell_length_c 6.7499
_cell_angle_alpha 90.00
_cell_angle_beta 90.00
_cell_angle_gamma 120.00
_symmetry_space_group_name_H-M 'P -3 m 1'
_symmetry_Int_Tables_number 164
_symmetry_space_group_name_Hall '-P 3 2"'
loop_
_atom_site_label
_atom_site_type_symbol
_atom_site_fract_x
_atom_site_fract_y
_atom_site_fract_z
_atom_site_occupancy
Cs1 Cs 0.3333 0.6667 0.2829 1
Ga1 Ga 0.0000 0.0000 0.5000 1
Ag1 Ag 0.0000 0.0000 0.0000 1
Cl1 Cl 0.1533 0.3065 0.7090 1

---

11.
# BeAlHg2 (PBE-GGA, optimized geometry)
# Energy of formation: 10.881 kcal/mol of atoms
# Uncorrected energy: -1.5462 eV per atom
# Excess energy over the best structure of this formula in the dataset: 245 meV/atom
data_BeAlHg2
_cell_length_a 5.464
_cell_length_b 7.531
_cell_length_c 3.655
_cell_angle_alpha 90.00
_cell_angle_beta 90.00
_cell_angle_gamma 90.00
_symmetry_space_group_name_H-M 'C m m m'
_symmetry_Int_Tables_number 65
_symmetry_space_group_name_Hall '-C 2 2'
loop_
_atom_site_label
_atom_site_type_symbol
_atom_site_fract_x
_atom_site_fract_y
_atom_site_fract_z
_atom_site_occupancy
Be1 Be 0.000 0.000 0.000 1
Al1 Al 0.000 0.500 0.000 1
Hg1 Hg 0.250 0.250 0.500 1

---

12.
# CuTeSe2 (PBE-GGA, optimized geometry)
# Uncorrected energy: -3.2205 eV per atom
data_CuTeSe2
_cell_length_a 3.663
_cell_length_b 4.629
_cell_length_c 11.015
_cell_angle_alpha 90.00
_cell_angle_beta 90.00
_cell_angle_gamma 90.00
_symmetry_space_group_name_H-M 'C m m 2'
_symmetry_Int_Tables_number 35
loop_
_symmetry_equiv_pos_as_xyz
'x,y,z'
'-x,-y,z'
'-x,y,z'
'x,-y,z'
'x+1/2,y+1/2,z'
'-x+1/2,-y+1/2,z'
'-x+1/2,y+1/2,z'
'x+1/2,-y+1/2,z'
loop_
_atom_site_label
_atom_site_type_symbol
_atom_site_fract_x
_atom_site_fract_y
_atom_site_fract_z
_atom_site_occupancy
Cu1 Cu 0.000 0.000 0.000 1
Te1 Te 0.000 0.500 0.204 1
Se1 Se 0.000 0.000 0.502 1
Se2 Se 0.000 0.500 0.842 1

---

13.
# Pr4ErAu5 (PBE-GGA, optimized geometry)
# Energy of formation: -17.787 kcal/mol of atoms
# Uncorrected energy: -4.7781 eV per atom
data_Pr4ErAu5
_cell_length_a 3.674
_cell_length_b 3.674
_cell_length_c 18.883
_cell_angle_alpha 90.00
_cell_angle_beta 90.00
_cell_angle_gamma 90.00
_symmetry_space_group_name_H-M 'P 4/m m m'
_symmetry_Int_Tables_number 123
_symmetry_space_group_name_Hall '-P 4 2'
loop_
_atom_site_label
_atom_site_type_symbol
_atom_site_fract_x
_atom_site_fract_y
_atom_site_fract_z
_atom_site_occupancy
Pr1 Pr 0.000 0.000 0.102 1
Pr2 Pr 0.000 0.000 0.305 1
Er1 Er 0.000 0.000 0.500 1
Au1 Au 0.500 0.500 0.000 1
Au2 Au 0.500 0.500 0.203 1
Au3 Au 0.500 0.500 0.412 1

---

14.
# Y4Tl2Sn (PBE-GGA, optimized geometry)
# Energy of formation: -10.361 kcal/mol of atoms
# Uncorrected energy: -5.3910 eV per atom
data_Y4Tl2Sn
_cell_length_a 9.326
_cell_length_b 9.326
_cell_length_c 9.360
_cell_angle_alpha 90.00
_cell_angle_beta 90.00
_cell_angle_gamma 90.00
_symmetry_space_group_name_H-M 'I -4 2 d'
_symmetry_Int_Tables_number 122
_symmetry_space_group_name_Hall 'I -4 2bw'
loop_
_atom_site_label
_atom_site_type_symbol
_atom_site_fract_x
_atom_site_fract_y
_atom_site_fract_z
_atom_site_occupancy
Y1 Y 0.071 0.679 0.449 1
Tl1 Tl 0.120 0.750 0.125 1
Sn1 Sn 0.000 0.000 0.500 1

---

15.
# BaAgPb2 (PBE-GGA, optimized geometry)
# Energy of formation: -6.608 kcal/mol of atoms
# Uncorrected energy: -3.3342 eV per atom
# Excess energy over the best structure of this formula in the dataset: 47 meV/atom
data_BaAgPb2
_cell_length_a 8.526
_cell_length_b 4.931
_cell_length_c 6.831
_cell_angle_alpha 90.00
_cell_angle_beta 114.68
_cell_angle_gamma 90.00
_symmetry_space_group_name_H-M 'C 1 2/m 1'
_symmetry_Int_Tables_number 12
loop_
_symmetry_equiv_pos_as_xyz
'x,y,z'
'-x,-y,-z'
'-x,y,-z'
'x,-y,z'
'x+1/2,y+1/2,z'
'-x+1/2,-y+1/2,-z'
'-x+1/2,y+1/2,-z'
'x+1/2,-y+1/2,z'
loop_
_atom_site_label
_atom_site_type_symbol
_atom_site_fract_x
_atom_site_fract_y
_atom_site_fract_z
_atom_site_occupancy
Ba1 Ba 0.000 0.000 0.000 1
Ag1 Ag 0.000 0.500 0.500 1
Pb1 Pb 0.219 0.000 0.656 1

---

16.
# Pr2ZnSi3Pt4 (PBE-GGA, optimized geometry)
# Uncorrected energy: -6.1703 eV per atom
data_Pr2ZnSi3Pt4
_cell_length_a 4.306
_cell_length_b 4.306
_cell_length_c 9.965
_cell_angle_alpha 90.00
_cell_angle_beta 90.00
_cell_angle_gamma 90.00
_symmetry_space_group_name_H-M 'P -4 m 2'
_symmetry_Int_Tables_number 115
loop_
_symmetry_equiv_pos_as_xyz
'x,y,z'
'y,-x,-z'
'-x,-y,z'
'-y,x,-z'
'-x,y,z'
'-y,-x,-z'
'x,-y,z'
'y,x,-z'
loop_
_atom_site_label
_atom_site_type_symbol
_atom_site_fract_x
_atom_site_fract_y
_atom_site_fract_z
_atom_site_occupancy
Pr1 Pr 0.000 0.500 0.246 1
Zn1 Zn 0.500 0.500 0.000 1
Si1 Si 0.000 0.000 0.000 1
Si2 Si 0.000 0.500 0.627 1
Pt1 Pt 0.000 0.000 0.500 1
Pt2 Pt 0.000 0.500 0.868 1
Pt3 Pt 0.500 0.500 0.500 1

---

17.
# TlZnTe (PBE-GGA, optimized geometry)
# Uncorrected energy: -2.2871 eV per atom
# Excess energy over the best structure of this formula in the dataset: 139 meV/atom
data_TlZnTe
_cell_length_a 7.117
_cell_length_b 7.117
_cell_length_c 7.117
_cell_angle_alpha 90.00
_cell_angle_beta 90.00
_cell_angle_gamma 90.00
_symmetry_space_group_name_H-M 'F -4 3 m'
_symmetry_Int_Tables_number 216
_symmetry_space_group_name_Hall 'F -4 2 3'
loop_
_atom_site_label
_atom_site_type_symbol
_atom_site_fract_x
_atom_site_fract_y
_atom_site_fract_z
_atom_site_occupancy
Tl1 Tl 0.000 0.000 0.000 1
Zn1 Zn 0.250 0.250 0.250 1
Te1 Te 0.000 0.000 0.500 1

---

18.
# K3Tl4Sb2Pb2 (PBE-GGA, optimized geometry)
# Uncorrected energy: -2.6918 eV per atom
data_K3Tl4Sb2Pb2
_cell_length_a 5.4251
_cell_length_b 5.4251
_cell_length_c 15.6109
_cell_angle_alpha 90.00
_cell_angle_beta 90.00
_cell_angle_gamma 120.00
_symmetry_space_group_name_H-M 'P -3 m 1'
_symmetry_Int_Tables_number 164
_symmetry_space_group_name_Hall '-P 3 2"'
loop_
_atom_site_label
_atom_site_type_symbol
_atom_site_fract_x
_atom_site_fract_y
_atom_site_fract_z
_atom_site_occupancy
K1 K 0.0000 0.0000 0.0000 1
K2 K 0.0000 0.0000 0.2530 1
Tl1 Tl 0.3333 0.6667 0.3616 1
Tl2 Tl 0.3333 0.6667 0.9173 1
Sb1 Sb 0.3333 0.6667 0.1337 1
Pb1 Pb 0.3333 0.6667 0.5649 1

---

19.
# Ba3Ca2Cd2 (PBE-GGA, optimized geometry)
# Energy of formation: -3.503 kcal/mol of atoms
# Uncorrected energy: -1.8093 eV per atom
data_Ba3Ca2Cd2
_cell_length_a 15.368
_cell_length_b 4.296
_cell_length_c 10.306
_cell_angle_alpha 90.00
_cell_angle_beta 114.73
_cell_angle_gamma 90.00
_symmetry_space_group_name_H-M 'C 1 2/m 1'
_symmetry_Int_Tables_number 12
loop_
_symmetry_equiv_pos_as_xyz
'x,y,z'
'-x,-y,-z'
'-x,y,-z'
'x,-y,z'
'x+1/2,y+1/2,z'
'-x+1/2,-y+1/2,-z'
'-x+1/2,y+1/2,-z'
'x+1/2,-y+1/2,z'
loop_
_atom_site_label
_atom_site_type_symbol
_atom_site_fract_x
_atom_site_fract_y
_atom_site_fract_z
_atom_site_occupancy
Ba1 Ba 0.000 0.000 0.000 1
Ba2 Ba 0.114 0.000 0.440 1
Ca1 Ca 0.164 0.500 0.837 1
Cd1 Cd 0.190 0.500 0.212 1

---

20.
# Tl2VP (PBE-GGA, optimized geometry)
# Energy of formation: 16.181 kcal/mol of atoms
# Uncorrected energy: -4.1136 eV per atom
# Excess energy over the best structure of this formula in the dataset: 107 meV/atom
data_Tl2VP
_cell_length_a 7.093
_cell_length_b 7.093
_cell_length_c 7.093
_cell_angle_alpha 90.00
_cell_angle_beta 90.00
_cell_angle_gamma 90.00
_symmetry_space_group_name_H-M 'F m -3 m'
_symmetry_Int_Tables_number 225
_symmetry_space_group_name_Hall '-F 4 2 3'
loop_
_atom_site_label
_atom_site_type_symbol
_atom_site_fract_x
_atom_site_fract_y
_atom_site_fract_z
_atom_site_occupancy
Tl1 Tl 0.250 0.250 0.250 1
V1 V 0.000 0.000 0.000 1
P1 P 0.000 0.000 0.500 1